The following is a PBE calculation of an optimized crystal structure of AcAgTe2, from Alexandria.

a = 4.747 Å, b = 4.747 Å, c = 7.406 Å
α = 71.31°, β = 71.31°, γ = 60.00°
Sites, in units of the cell vectors:
1 Ac 0.500 0.500 0.500
2 Te 0.742 0.742 0.774
3 Te 0.258 0.258 0.226
4 Ag 0.000 0.000 0.000

- space-group type = No. 166
- theoretical density (Mg/m³) = 7.30
- volume (Å³ per atom) = 33.574
- energy relative to the elements, uncorrected (meV per atom) = -919


The following is a PBE calculation of an optimized crystal structure of Zr2CdMo, from Alexandria.

a = 2.947 Å, b = 2.947 Å, c = 9.830 Å
α = 90.00°, β = 90.00°, γ = 107.98°
Sites, in units of the cell vectors:
1 Cd 0.000 0.000 0.516
2 Mo 0.500 0.500 0.754
3 Zr 0.000 0.000 0.980
4 Zr 0.500 0.500 0.250

- space-group type = No. 35
- calculated formation energy (kJ/mol of formula units) = 68
- theoretical density (Mg/m³) = 7.99
- volume (Å³ per atom) = 20.305
- N(E_F) (states/eV/cell) = 4.5


The following is a PBE calculation of an optimized crystal structure of TlMo3Ir, from Alexandria.

a = 4.793 Å, b = 4.793 Å, c = 4.793 Å
α = 90.00°, β = 90.00°, γ = 90.00°
Sites, in units of the cell vectors:
1 Tl 0.500 0.500 0.500
2 Ir 0.000 0.000 0.000
3 Mo 0.000 0.500 0.000
4 Mo 0.000 0.000 0.500
5 Mo 0.500 0.000 0.000

- space-group type = No. 221
- calculated formation energy (kJ/mol of formula units) = 717
- theoretical density (Mg/m³) = 10.32
- volume (Å³ per atom) = 22.016
- N(E_F) (states/eV/cell) = 5.7


The following is a PBE calculation of an optimized crystal structure of MgZrBr2, from Alexandria.

a = 4.975 Å, b = 4.975 Å, c = 4.975 Å
α = 60.00°, β = 60.00°, γ = 60.00°
Sites, in units of the cell vectors:
1 Mg 0.000 0.000 0.000
2 Br 0.250 0.250 0.250
3 Br 0.750 0.750 0.750
4 Zr 0.500 0.500 0.500

- space-group type = No. 225
- theoretical density (Mg/m³) = 5.25
- volume (Å³ per atom) = 21.764
- N(E_F) (states/eV/cell) = 3.8
- energy relative to the elements, uncorrected (meV per atom) = -208


The following is a PBE calculation of an optimized crystal structure of Au2SeBr, from Alexandria.

a = 8.211 Å, b = 8.211 Å, c = 8.211 Å
α = 153.55°, β = 153.55°, γ = 37.75°
Sites, in units of the cell vectors:
1 Au 0.000 0.000 0.000
2 Au 0.250 0.750 0.500
3 Br 0.500 0.500 0.000
4 Se 0.750 0.250 0.500

- space-group type = No. 119
- theoretical density (Mg/m³) = 8.37
- volume (Å³ per atom) = 27.416
- N(E_F) (states/eV/cell) = 3.3
- energy relative to the elements, uncorrected (meV per atom) = 247


The following is a PBE calculation of an optimized crystal structure of K4U3CrSe8, from Alexandria.

a = 8.312 Å, b = 9.097 Å, c = 8.313 Å
α = 117.19°, β = 120.00°, γ = 90.00°
Sites, in units of the cell vectors:
1 K 0.500 0.000 0.000
2 K 0.500 0.000 0.500
3 K 0.000 0.000 0.000
4 K 0.000 0.000 0.500
5 U 0.500 0.500 0.000
6 U 0.500 0.500 0.500
7 U 0.000 0.500 0.500
8 Cr 0.000 0.500 0.000
9 Se 0.230 0.701 0.971
10 Se 0.230 0.701 0.460
11 Se 0.263 0.289 0.526
12 Se 0.741 0.701 0.971
13 Se 0.259 0.299 0.029
14 Se 0.737 0.711 0.474
15 Se 0.770 0.299 0.540
16 Se 0.770 0.299 0.029

- space-group type = No. 166
- theoretical density (Mg/m³) = 5.58
- volume (Å³ per atom) = 28.899
- N(E_F) (states/eV/cell) = 15.5
- energy relative to the elements, uncorrected (meV per atom) = -1128


The following is a PBE calculation of an optimized crystal structure of Al8Au, from Alexandria.

a = 6.423 Å, b = 6.423 Å, c = 6.423 Å
α = 95.50°, β = 95.50°, γ = 143.94°
Sites, in units of the cell vectors:
1 Al 0.334 0.666 0.000
2 Al 0.666 0.334 0.000
3 Al 0.000 0.334 0.334
4 Al 0.666 0.666 0.333
5 Al 0.334 0.000 0.334
6 Al 0.334 0.334 0.667
7 Al 0.000 0.666 0.666
8 Al 0.666 0.000 0.666
9 Au 0.000 0.000 0.000

- space-group type = No. 139
- calculated formation energy (kJ/mol of formula units) = -49
- theoretical density (Mg/m³) = 4.62
- volume (Å³ per atom) = 16.480
- N(E_F) (states/eV/cell) = 2.5


The following is a PBE calculation of an optimized crystal structure of YSb4Pb, from Alexandria.

a = 6.275 Å, b = 6.275 Å, c = 6.275 Å
α = 60.00°, β = 60.00°, γ = 60.00°
Sites, in units of the cell vectors:
1 Y 0.750 0.750 0.750
2 Sb 0.873 0.376 0.376
3 Sb 0.376 0.376 0.873
4 Sb 0.376 0.873 0.376
5 Sb 0.376 0.376 0.376
6 Pb 0.000 0.000 0.000

- space-group type = No. 216
- theoretical density (Mg/m³) = 7.44
- volume (Å³ per atom) = 29.120
- N(E_F) (states/eV/cell) = 5.3
- energy relative to the elements, uncorrected (meV per atom) = -8